HfTlRu2, optimized geometry, DFT PBE; magnetic moment = 0.00 Bohr magnetons per cell; ρ = 12.063 g/cm³; space group = I-42d (122); energy relative to the elements = 553 meV per atom
1.0
-2.122 2.122 8.943
2.122 -2.122 8.943
2.122 2.122 -8.943
Hf Tl Ru
2 2 4
direct
0.000 0.000 0.000
0.750 0.250 0.500
0.250 0.750 0.500
0.500 0.500 0.000
0.057 0.625 0.932
0.375 0.307 0.432
0.693 0.125 0.068
0.875 0.943 0.568